# TbTmNi2B2C2, optimized geometry, DFT GGA-PBE
# * DFT total energy: -7.037 eV per atom
data_TbTmNi2B2C2
_cell_length_a 3.573
_cell_length_b 3.573
_cell_length_c 7.534
_cell_angle_alpha 90.00
_cell_angle_beta 90.00
_cell_angle_gamma 90.00
_symmetry_space_group_name_H-M 'P 4 m m'
_symmetry_Int_Tables_number 99
_symmetry_space_group_name_Hall 'P 4 -2'
loop_
_atom_site_label
_atom_site_type_symbol
_atom_site_fract_x
_atom_site_fract_y
_atom_site_fract_z
Tb1 Tb 0.000 0.000 0.000
Tm1 Tm 0.500 0.500 0.331
Ni1 Ni 0.000 0.500 0.665
B1 B 0.000 0.000 0.520
B2 B 0.500 0.500 0.814
C1 C 0.000 0.000 0.322
C2 C 0.500 0.500 0.012